1.
A plane-wave DFT calculation with PBE was carried out for a relaxed structure of Pu2CdMo.

Cell lengths 2.9429, 2.9429, 35.2589 Å; angles 90.00, 90.00, 120.00 degrees
Last column: nearest neighbours and their distance in Å.
Space group R-3m (No. 166, hexagonal axes)
Asymmetric unit:
Pu 0.0000 0.0000 0.0939 (multiplicity 6)  6 Pu 2.94, 3 Mo 3.08
Cd 0.0000 0.0000 0.0000 (multiplicity 3)  6 Cd 2.94
Mo 0.0000 0.0000 0.5000 (multiplicity 3)  6 Mo 2.94, 6 Pu 3.08

Properties
Excess energy over the best structure of this formula in the dataset ... 0.00 eV/f.u.
VASP energy ... -9.64 eV/atom
DOS(E_F) ... 32.04 states/eV/cell
Volume ... 264.5 Å³/cell


2.
A plane-wave DFT calculation with PBE was carried out for a relaxed structure of Cd2RhCSe.

Cell lengths 5.4078, 5.4078, 3.6773 Å; angles 90.00, 90.00, 90.00 degrees
Last column: nearest neighbours and their distance in Å.
Space group P4/mmm (No. 123)
Asymmetric unit:
Cd 0.0000 0.5000 0.0000 (multiplicity 2)  2 Se 2.70
Rh 0.0000 0.0000 0.5000 (multiplicity 1)  8 Cd 3.27
C 0.5000 0.5000 0.5000 (multiplicity 1)  2 Se 1.84
Se 0.5000 0.5000 0.0000 (multiplicity 1)  2 C 1.84

Properties
VASP energy ... -2.87 eV/atom
DOS(E_F) ... 3.69 states/eV/cell
ΔE_f (raw) ... 1.505 eV per atom
Volume ... 107.5 Å³/cell


3.
A plane-wave DFT calculation with PBE was carried out for a relaxed structure of P5Se3.

Cell lengths 6.9905, 8.9169, 4.6096 Å; angles 90.00, 90.00, 90.00 degrees
Last column: nearest neighbours and their distance in Å.
Space group Cmmm (No. 65)
Asymmetric unit:
P 0.0000 0.0000 0.0000 (multiplicity 2)  8 P 2.54-2.83
P 0.1539 0.0000 0.5000 (multiplicity 4)  1 P 2.15
P 0.2500 0.2500 0.0000 (multiplicity 4)  6 Se 2.83-2.90, 2 P 2.83
Se 0.0000 0.2661 0.5000 (multiplicity 4)  6 P 2.61-2.90
Se 0.0000 0.5000 0.0000 (multiplicity 2)  4 P 2.83, 4 Se 3.11

Properties
VASP energy ... -4.02 eV/atom
DOS(E_F) ... 8.77 states/eV/cell
ΔE_f (raw) ... 0.671 eV per atom
Volume ... 287.3 Å³/cell


4.
A plane-wave DFT calculation with PBE was carried out for a relaxed structure of AlSb3.

Cell lengths 6.0031, 8.4532, 4.2545 Å; angles 90.00, 90.34, 90.00 degrees
Last column: nearest neighbours and their distance in Å.
Space group C2/m (No. 12)
Asymmetric unit:
Al 0.0000 0.0000 0.0000 (multiplicity 2)  6 Sb 2.90-3.00
Sb 0.0000 0.2325 0.5000 (multiplicity 4)  2 Al 2.90, 4 Sb 3.02-3.10
Sb 0.0000 0.5000 0.0000 (multiplicity 2)  2 Al 3.00, 4 Sb 3.10

Properties
Excess energy over the best structure of this formula in the dataset ... 0.06 eV/f.u.
VASP energy ... -3.96 eV/atom
DOS(E_F) ... 3.58 states/eV/cell
ΔE_f (raw) ... 0.067 eV per atom
Volume ... 215.9 Å³/cell


5.
A plane-wave DFT calculation with PBE was carried out for a relaxed structure of K2Rb2I.

Cell lengths 9.7345, 9.7345, 8.0628 Å; angles 90.00, 90.00, 90.00 degrees
Last column: nearest neighbours and their distance in Å.
Space group P4/mbm (No. 127)
Asymmetric unit:
K 0.1596 0.3404 0.0000 (multiplicity 4)  1 K 4.40, 2 Rb 4.65
Rb 0.1719 0.6719 0.5000 (multiplicity 4)  2 I 3.61
I 0.0000 0.0000 0.5000 (multiplicity 2)  4 Rb 3.61

Properties
Excess energy over the best structure of this formula in the dataset ... 0.02 eV/f.u.
VASP energy ... -1.58 eV/atom
DOS(E_F) ... 7.46 states/eV/cell
ΔE_f (raw) ... -0.448 eV per atom
Volume ... 764.0 Å³/cell


6.
A plane-wave DFT calculation with PBE was carried out for a relaxed structure of Tm6AgPt2.

Cell lengths 9.2663, 9.4425, 10.2818 Å; angles 90.00, 90.00, 90.00 degrees
Last column: nearest neighbours and their distance in Å.
Space group Immm (No. 71)
Asymmetric unit:
Tm 0.0000 0.1949 0.2397 (multiplicity 8)  1 Pt 2.80, 1 Ag 3.08
Tm 0.2000 0.5000 0.1692 (multiplicity 8)  3 Pt 2.73-2.98
Tm 0.2153 0.3192 0.5000 (multiplicity 8)  3 Pt 2.97-3.02, 1 Ag 3.14
Ag 0.0000 0.0000 0.0000 (multiplicity 2)  8 Tm 3.08-3.14, 2 Pt 3.17
Ag 0.0000 0.0000 0.5000 (multiplicity 2)  12 Tm 3.25-3.61
Pt 0.0000 0.3361 0.0000 (multiplicity 4)  8 Tm 2.80-3.02, 1 Pt 3.10
Pt 0.0000 0.5000 0.3647 (multiplicity 4)  6 Tm 2.73-2.97, 1 Pt 2.78

Properties
VASP energy ... -5.34 eV/atom
DOS(E_F) ... 41.23 states/eV/cell
Volume ... 899.6 Å³/cell


7.
A plane-wave DFT calculation with PBE was carried out for a relaxed structure of CsBaYI6.

Cell lengths 8.6084, 8.6084, 16.1493 Å; angles 90.00, 90.00, 120.00 degrees
Last column: nearest neighbours and their distance in Å.
Space group P-31c (No. 163)
Asymmetric unit:
Cs 0.0000 0.0000 0.0000 (multiplicity 2)  6 I 3.92
Ba 0.3333 0.6667 0.2500 (multiplicity 2)  6 I 3.47
Y 0.3333 0.6667 0.7500 (multiplicity 2)  6 I 3.06
I 0.0367 0.3911 0.6382 (multiplicity 12)  1 Y 3.06

Properties
VASP energy ... -3.63 eV/atom
DOS(E_F) ... 0.00 states/eV/cell
ΔE_f (raw) ... -1.572 eV per atom
Volume ... 1036.4 Å³/cell


8.
A plane-wave DFT calculation with PBE was carried out for a relaxed structure of AcPuS2.

Cell lengths 4.1169, 4.1169, 20.5074 Å; angles 90.00, 90.00, 120.00 degrees
Last column: nearest neighbours and their distance in Å.
Space group R-3m (No. 166, hexagonal axes)
Asymmetric unit:
Ac 0.0000 0.0000 0.0000 (multiplicity 3)  6 S 3.03
Pu 0.0000 0.0000 0.5000 (multiplicity 3)  6 S 2.83
S 0.0000 0.0000 0.2417 (multiplicity 6)  3 Pu 2.83, 3 Ac 3.03

Properties
Excess energy over the best structure of this formula in the dataset ... 0.00 eV/f.u.
VASP energy ... -8.54 eV/atom
DOS(E_F) ... 23.08 states/eV/cell
ΔE_f (raw) ... -1.868 eV per atom
Volume ... 301.0 Å³/cell


9.
A plane-wave DFT calculation with PBE was carried out for a relaxed structure of CrPW4.

Cell lengths 7.4076, 7.4076, 7.4076 Å; angles 90.00, 90.00, 90.00 degrees
Last column: nearest neighbours and their distance in Å.
Space group F-43m (No. 216)
Asymmetric unit:
Cr 0.0000 0.0000 0.0000 (multiplicity 4)  12 W 3.07, 4 P 3.21
P 0.2500 0.2500 0.7500 (multiplicity 4)  12 W 3.07, 4 Cr 3.21
W 0.1250 0.1250 0.3750 (multiplicity 16)  6 W 2.62

Properties
VASP energy ... -10.24 eV/atom
DOS(E_F) ... 28.04 states/eV/cell
Volume ... 406.5 Å³/cell


10.
A plane-wave DFT calculation with PBE was carried out for a relaxed structure of Pm8Er2Sc3.

Cell lengths 13.3033, 11.3659, 5.9627 Å; angles 90.00, 112.86, 90.00 degrees
Last column: nearest neighbours and their distance in Å.
Space group C2/m (No. 12)
Asymmetric unit:
Pm 0.0863 0.0000 0.2542 (multiplicity 4)  3 Pm 3.01-3.30, 2 Er 3.12-3.28
Pm 0.1366 0.5000 0.6182 (multiplicity 4)  1 Er 3.27, 2 Pm 3.35-3.46, 4 Sc 3.42-3.50
Pm 0.1548 0.2665 0.1458 (multiplicity 8)  3 Sc 3.26-3.62, 2 Pm 3.30-3.60, 1 Er 3.39
Er 0.1818 0.0000 0.8222 (multiplicity 4)  6 Pm 3.12-3.42
Sc 0.0000 0.2296 0.5000 (multiplicity 4)  8 Pm 3.40-3.62, 2 Er 3.57
Sc 0.0000 0.5000 0.0000 (multiplicity 2)  8 Pm 3.26-3.42

Properties
Excess energy over the best structure of this formula in the dataset ... 0.00 eV/f.u.
VASP energy ... -4.91 eV/atom
DOS(E_F) ... 41.17 states/eV/cell
Volume ... 830.7 Å³/cell


11.
A plane-wave DFT calculation with PBE was carried out for a relaxed structure of Cs2RbAuO.

Cell lengths 5.9171, 5.9171, 5.6150 Å; angles 90.00, 90.00, 90.00 degrees
Last column: nearest neighbours and their distance in Å.
Space group P4/mmm (No. 123)
Asymmetric unit:
Cs 0.0000 0.5000 0.0000 (multiplicity 2)  2 O 2.96
Rb 0.0000 0.0000 0.5000 (multiplicity 1)  2 O 2.81
Au 0.5000 0.5000 0.5000 (multiplicity 1)  8 Cs 4.08, 4 Rb 4.18
O 0.0000 0.0000 0.0000 (multiplicity 1)  2 Rb 2.81, 4 Cs 2.96

Properties
VASP energy ... -2.86 eV/atom
DOS(E_F) ... 1.77 states/eV/cell
ΔE_f (raw) ... -0.682 eV per atom
Volume ... 196.6 Å³/cell


12.
A plane-wave DFT calculation with PBE was carried out for a relaxed structure of Pm2Dy12Y5.

Cell lengths 15.8687, 9.1868, 8.5500 Å; angles 90.00, 91.26, 90.00 degrees
Last column: nearest neighbours and their distance in Å.
Space group C2/m (No. 12)
Asymmetric unit:
Pm 0.0000 0.1819 0.0000 (multiplicity 4)  1 Pm 3.34, 8 Dy 3.41-3.59, 2 Y 3.57
Dy 0.0570 0.0000 0.3331 (multiplicity 4)  2 Pm 3.41, 7 Dy 3.41-3.45, 2 Y 3.41-3.60
Dy 0.0921 0.5000 0.8843 (multiplicity 4)  3 Y 3.42-3.57, 2 Pm 3.42, 5 Dy 3.48-3.62
Dy 0.1266 0.1924 0.6573 (multiplicity 8)  4 Y 3.37-3.70, 6 Dy 3.41-3.75, 1 Pm 3.59
Dy 0.1551 0.3187 0.2444 (multiplicity 8)  4 Dy 3.33-3.62, 1 Pm 3.43, 4 Y 3.48-3.72
Y 0.0000 0.5000 0.5000 (multiplicity 2)  10 Dy 3.57-3.72, 2 Y 3.73
Y 0.1986 0.0000 0.0101 (multiplicity 4)  8 Dy 3.42-3.66, 2 Pm 3.57, 1 Y 3.69
Y 0.2328 0.5000 0.5746 (multiplicity 4)  10 Dy 3.37-3.74, 2 Y 3.69-3.73

Properties
Excess energy over the best structure of this formula in the dataset ... 2.04 eV/f.u.
VASP energy ... -4.98 eV/atom
DOS(E_F) ... 57.58 states/eV/cell
Volume ... 1246.1 Å³/cell


13.
A plane-wave DFT calculation with PBE was carried out for a relaxed structure of AcPuCd.

Cell lengths 3.8406, 3.8406, 13.3091 Å; angles 90.00, 90.00, 90.00 degrees
Last column: nearest neighbours and their distance in Å.
Space group I4mm (No. 107)
Asymmetric unit:
Ac 0.0000 0.0000 0.0000 (multiplicity 2)  4 Cd 3.52, 4 Pu 3.75, 4 Ac 3.84
Pu 0.0000 0.0000 0.3055 (multiplicity 2)  4 Cd 3.27
Cd 0.0000 0.0000 0.6683 (multiplicity 2)  4 Pu 3.27, 4 Ac 3.52

Properties
Excess energy over the best structure of this formula in the dataset ... 0.01 eV/f.u.
VASP energy ... -6.40 eV/atom
DOS(E_F) ... 19.54 states/eV/cell
Volume ... 196.3 Å³/cell


14.
A plane-wave DFT calculation with PBE was carried out for a relaxed structure of MoCI2N.

Cell lengths 5.5327, 5.5327, 3.8181 Å; angles 90.00, 90.00, 90.00 degrees
Last column: nearest neighbours and their distance in Å.
Space group P4/mmm (No. 123)
Asymmetric unit:
Mo 0.0000 0.0000 0.0000 (multiplicity 1)  2 N 1.91
C 0.5000 0.5000 0.5000 (multiplicity 1)  8 I 3.36
I 0.0000 0.5000 0.0000 (multiplicity 2)  2 Mo 2.77
N 0.0000 0.0000 0.5000 (multiplicity 1)  2 Mo 1.91

Properties
Excess energy over the best structure of this formula in the dataset ... 0.00 eV/f.u.
VASP energy ... -4.71 eV/atom
DOS(E_F) ... 3.05 states/eV/cell
ΔE_f (raw) ... 1.581 eV per atom
Volume ... 116.9 Å³/cell


15.
A plane-wave DFT calculation with PBE was carried out for a relaxed structure of Li4AcTl8.

Cell lengths 10.3044, 10.3044, 6.1848 Å; angles 90.00, 90.00, 90.00 degrees
Last column: nearest neighbours and their distance in Å.
Space group I4/mmm (No. 139)
Asymmetric unit:
Li 0.2500 0.2500 0.2500 (multiplicity 8)  8 Tl 3.02-3.15, 2 Li 3.09
Ac 0.0000 0.0000 0.0000 (multiplicity 2)  12 Tl 3.51-3.83
Tl 0.0000 0.2190 0.5000 (multiplicity 8)  4 Li 3.02, 6 Tl 3.19-3.34
Tl 0.0000 0.3405 0.0000 (multiplicity 8)  4 Li 3.15, 5 Tl 3.29-3.34, 1 Ac 3.51

Properties
VASP energy ... -2.56 eV/atom
DOS(E_F) ... 14.23 states/eV/cell
Volume ... 656.7 Å³/cell


16.
A plane-wave DFT calculation with PBE was carried out for a relaxed structure of Tb7Dy2.

Cell lengths 6.1465, 6.1465, 8.6833 Å; angles 90.00, 90.00, 120.00 degrees
Last column: nearest neighbours and their distance in Å.
Space group P-31m (No. 162)
Asymmetric unit:
Tb 0.0000 0.0000 0.0000 (multiplicity 1)  6 Tb 3.54, 6 Dy 3.55
Tb 0.0000 0.3334 0.6671 (multiplicity 6)  2 Dy 3.54, 10 Tb 3.54-3.55
Dy 0.3333 0.6667 0.0000 (multiplicity 2)  9 Tb 3.54-3.55, 3 Dy 3.55

Properties
Excess energy over the best structure of this formula in the dataset ... 0.00 eV/f.u.
VASP energy ... -4.61 eV/atom
DOS(E_F) ... 12.00 states/eV/cell
Volume ... 284.1 Å³/cell


17.
A plane-wave DFT calculation with PBE was carried out for a relaxed structure of Rb3SrB2O6.

Cell lengths 5.9123, 5.9123, 7.3058 Å; angles 90.00, 90.00, 120.00 degrees
Last column: nearest neighbours and their distance in Å.
Space group P-3m1 (No. 164)
Asymmetric unit:
Rb 0.0000 0.0000 0.0000 (multiplicity 1)  6 O 2.94
Rb 0.3333 0.6667 0.7304 (multiplicity 2)  6 O 2.98, 1 B 3.22
Sr 0.0000 0.0000 0.5000 (multiplicity 1)  6 O 2.54
B 0.3333 0.6667 0.2890 (multiplicity 2)  3 O 1.39
O 0.1979 0.3958 0.2907 (multiplicity 6)  1 B 1.39

Properties
VASP energy ... -6.16 eV/atom
DOS(E_F) ... 5.12 states/eV/cell
ΔE_f (raw) ... -2.183 eV per atom
Volume ... 221.2 Å³/cell


18.
A plane-wave DFT calculation with PBE was carried out for a relaxed structure of CeGdAg2.

Cell lengths 3.6367, 3.6367, 7.6516 Å; angles 90.00, 90.00, 90.00 degrees
Last column: nearest neighbours and their distance in Å.
Space group P4/mmm (No. 123)
Asymmetric unit:
Ce 0.0000 0.0000 0.0000 (multiplicity 1)  8 Ag 3.26, 4 Ce 3.64
Gd 0.0000 0.0000 0.5000 (multiplicity 1)  8 Ag 3.15
Ag 0.5000 0.5000 0.2629 (multiplicity 2)  4 Gd 3.15, 4 Ce 3.26

Properties
Excess energy over the best structure of this formula in the dataset ... 0.00 eV/f.u.
VASP energy ... -6.60 eV/atom
DOS(E_F) ... 9.09 states/eV/cell
Volume ... 101.2 Å³/cell


19.
A plane-wave DFT calculation with PBE was carried out for a relaxed structure of PmPr2Co.

Cell lengths 5.4775, 5.4775, 12.3998 Å; angles 90.00, 90.00, 120.00 degrees
Last column: nearest neighbours and their distance in Å.
Space group R-3m (No. 166, hexagonal axes)
Asymmetric unit:
Pm 0.0000 0.0000 0.0000 (multiplicity 3)  8 Pr 3.20-3.30
Pr 0.0000 0.0000 0.2582 (multiplicity 6)  1 Co 3.00, 4 Pm 3.20-3.30
Co 0.0000 0.0000 0.5000 (multiplicity 3)  2 Pr 3.00

Properties
Excess energy over the best structure of this formula in the dataset ... 1.79 eV/f.u.
VASP energy ... -4.96 eV/atom
DOS(E_F) ... 23.38 states/eV/cell
Volume ... 322.2 Å³/cell


20.
A plane-wave DFT calculation with PBE was carried out for a relaxed structure of La4Dy3Ho.

Cell lengths 5.1537, 10.3098, 10.2821 Å; angles 90.00, 90.00, 90.00 degrees
Last column: nearest neighbours and their distance in Å.
Space group Pmmn (No. 59, origin choice 2)
Asymmetric unit:
La 0.2500 0.9998 0.1283 (multiplicity 4)  8 La 3.64-3.69, 3 Dy 3.68, 1 Ho 3.68
La 0.2500 0.2500 0.8719 (multiplicity 2)  8 La 3.64-3.69, 2 Dy 3.68, 2 Ho 3.68
La 0.2500 0.7500 0.8719 (multiplicity 2)  8 La 3.65-3.69, 4 Dy 3.68
Dy 0.2500 0.0001 0.6166 (multiplicity 4)  5 Dy 3.52-3.65, 3 Ho 3.52-3.64, 4 La 3.68
Dy 0.2500 0.2500 0.3833 (multiplicity 2)  2 Ho 3.52, 6 Dy 3.52-3.65, 4 La 3.68
Ho 0.2500 0.7500 0.3836 (multiplicity 2)  8 Dy 3.52-3.64, 4 La 3.68

Properties
Excess energy over the best structure of this formula in the dataset ... 0.00 eV/f.u.
VASP energy ... -4.73 eV/atom
DOS(E_F) ... 27.51 states/eV/cell
Volume ... 546.3 Å³/cell